# 1
DFT (PBE) results for crystalline AcDy4Tm7 at its relaxed geometry.

a b c (Å): 5.643 6.241 21.718
angles (deg): 90.00 90.00 90.00
Positions (direct):
Ac 0.513 0.672 0.500
Ac 0.013 0.328 0.000
Dy 0.513 0.668 0.832
Dy 0.013 0.331 0.169
Dy 0.513 0.669 0.331
Dy 0.013 0.332 0.668
Dy 0.013 0.332 0.332
Dy 0.513 0.668 0.168
Dy 0.013 0.331 0.831
Dy 0.513 0.669 0.669
Tm 0.013 0.832 0.086
Tm 0.513 0.168 0.414
Tm 0.513 0.163 0.914
Tm 0.013 0.837 0.586
Tm 0.013 0.837 0.414
Tm 0.513 0.163 0.086
Tm 0.513 0.165 0.750
Tm 0.013 0.835 0.750
Tm 0.013 0.835 0.250
Tm 0.513 0.165 0.250
Tm 0.513 0.676 0.000
Tm 0.013 0.324 0.500
Tm 0.013 0.832 0.914
Tm 0.513 0.168 0.586

## Properties
The magnetization comes out at 0.00 μB/cell. The calculated formation energy is 0.021 eV/atom. The symmetry is No. 59.

---

# 2
DFT (PBE) results for crystalline Mn2Tl2Cl7 at its relaxed geometry.

a b c (Å): 5.928 8.304 8.304
angles (deg): 106.25 94.63 94.63
Each line ends with the local moment (μB).
Positions (direct):
Mn 0.924 0.226 0.226  3.97
Mn 0.076 0.774 0.774  3.97
Tl 0.500 0.302 0.698  0.01
Tl 0.500 0.698 0.302  0.01
Cl 0.236 0.913 0.608  0.04
Cl 0.764 0.392 0.087  0.04
Cl 0.764 0.087 0.392  0.04
Cl 0.236 0.608 0.913  0.04
Cl 0.000 0.000 0.000  0.04
Cl 0.767 0.611 0.611  0.04
Cl 0.233 0.389 0.389  0.04

## Properties
The magnetization comes out at 9.00 μB/cell. The symmetry is No. 12. The value obtained for the energy relative to the elements, uncorrected is -0.995 eV/atom.

---

# 3
DFT (PBE) results for crystalline Sr2CaFe at its relaxed geometry.

a b c (Å): 5.368 5.368 4.993
angles (deg): 90.00 90.00 90.00
Each line ends with the local moment (μB).
Positions (direct):
Sr 0.000 0.000 0.000  -0.05
Sr 0.500 0.500 0.000  -0.05
Ca 0.500 0.000 0.500  -0.05
Fe 0.000 0.500 0.500  2.97

## Properties
The magnetization comes out at 2.47 μB/cell. The calculated formation energy is 0.577 eV/atom. The symmetry is No. 123.

---

# 4
DFT (PBE) results for crystalline Sc3FePt at its relaxed geometry.

a b c (Å): 4.994 4.994 4.994
angles (deg): 90.00 90.00 90.00
Positions (direct):
Sc 0.000 0.500 0.000
Sc 0.000 0.000 0.500
Sc 0.500 0.000 0.000
Fe 0.500 0.500 0.500
Pt 0.000 0.000 0.000

## Properties
The magnetization comes out at 0.00 μB/cell. The calculated formation energy is 0.368 eV/atom. The symmetry is No. 221.

---

# 5
DFT (PBE) results for crystalline Sr2ZnCd2Pd5 at its relaxed geometry.

a b c (Å): 3.646 10.639 10.639
angles (deg): 90.00 90.00 90.00
Positions (direct):
Sr 0.000 0.670 0.170
Sr 0.000 0.330 0.830
Sr 0.000 0.170 0.330
Sr 0.000 0.830 0.670
Zn 0.000 0.000 0.000
Zn 0.000 0.500 0.500
Cd 0.000 0.132 0.632
Cd 0.000 0.868 0.368
Cd 0.000 0.632 0.868
Cd 0.000 0.368 0.132
Pd 0.500 0.183 0.055
Pd 0.500 0.817 0.945
Pd 0.500 0.055 0.817
Pd 0.500 0.683 0.445
Pd 0.500 0.945 0.183
Pd 0.500 0.317 0.555
Pd 0.500 0.555 0.683
Pd 0.500 0.445 0.317
Pd 0.500 0.500 0.000
Pd 0.500 0.000 0.500

## Properties
The magnetization comes out at 0.00 μB/cell. The calculated formation energy is -0.416 eV/atom. The symmetry is No. 127.

---

# 6
DFT (PBE) results for crystalline SmHo3Mg2 at its relaxed geometry.

a b c (Å): 3.643 3.643 13.050
angles (deg): 90.00 90.00 90.00
Positions (direct):
Sm 0.500 0.500 0.500
Ho 0.000 0.000 0.000
Ho 0.000 0.000 0.691
Ho 0.000 0.000 0.309
Mg 0.500 0.500 0.848
Mg 0.500 0.500 0.152

## Properties
The magnetization comes out at 0.00 μB/cell. The calculated formation energy is -0.039 eV/atom. The symmetry is No. 123.

---

# 7
DFT (PBE) results for crystalline ThCuHg at its relaxed geometry.

a b c (Å): 4.701 4.701 4.701
angles (deg): 60.00 60.00 60.00
Positions (direct):
Cu 0.250 0.250 0.250
Hg 0.000 0.000 0.000
Th 0.500 0.500 0.500

## Properties
The magnetization comes out at 0.00 μB/cell. The calculated formation energy is -0.134 eV/atom. The symmetry is No. 216.

---

# 8
DFT (PBE) results for crystalline LiFe2Co at its relaxed geometry.

a b c (Å): 8.803 8.803 8.803
angles (deg): 16.48 16.48 16.48
Each line ends with the local moment (μB).
Positions (direct):
Co 0.750 0.750 0.750  1.62
Fe 0.004 0.004 0.004  2.52
Fe 0.496 0.496 0.496  2.52
Li 0.250 0.250 0.250  -0.06

## Properties
The magnetization comes out at 6.51 μB/cell. The calculated formation energy is 0.143 eV/atom. The symmetry is No. 166.

---

# 9
DFT (PBE) results for crystalline ZnTcTe2N at its relaxed geometry.

a b c (Å): 5.439 5.439 3.698
angles (deg): 90.00 90.00 90.00
Positions (direct):
Zn 0.500 0.500 0.500
Te 0.000 0.500 0.000
Te 0.500 0.000 0.000
Tc 0.000 0.000 0.000
N 0.000 0.000 0.500

## Properties
The magnetization comes out at 0.00 μB/cell. The symmetry is No. 123. The value obtained for the energy relative to the elements, uncorrected is 0.297 eV/atom.

---

# 10
DFT (PBE) results for crystalline VCuHgCl6 at its relaxed geometry.

a b c (Å): 6.500 6.501 8.876
angles (deg): 103.49 76.50 55.35
Each line ends with the local moment (μB).
Positions (direct):
V 0.348 0.348 0.500  0.64
Cu 0.669 0.669 0.500  -0.28
Hg 0.994 0.994 0.000  -0.07
Cl 0.110 0.270 0.338  -0.04
Cl 0.270 0.110 0.662  -0.04
Cl 0.543 0.423 0.655  -0.05
Cl 0.907 0.735 0.703  -0.05
Cl 0.423 0.543 0.345  -0.05
Cl 0.735 0.908 0.297  -0.05

## Properties
The magnetization comes out at 0.02 μB/cell. The symmetry is No. 5. The value obtained for the energy relative to the elements, uncorrected is -0.773 eV/atom.

---

# 11
DFT (PBE) results for crystalline AcNd2PtO8 at its relaxed geometry.

a b c (Å): 4.427 5.499 7.285
angles (deg): 89.97 89.99 91.55
Positions (direct):
Ac 0.000 0.000 0.500
Nd 0.500 0.500 0.748
Nd 0.500 0.500 0.252
Pt 0.000 0.000 0.000
O 0.031 0.746 0.203
O 0.580 0.886 0.999
O 0.968 0.254 0.202
O 0.969 0.254 0.797
O 0.420 0.114 0.001
O 0.032 0.746 0.798
O 0.511 0.745 0.500
O 0.489 0.255 0.500

## Properties
The magnetization comes out at 0.00 μB/cell. The symmetry is No. 10. The value obtained for the energy relative to the elements, uncorrected is -2.151 eV/atom.

---

# 12
DFT (PBE) results for crystalline K2Na2US4 at its relaxed geometry.

a b c (Å): 4.246 10.487 8.699
angles (deg): 133.52 104.13 90.00
Each line ends with the local moment (μB).
Positions (direct):
K 0.180 0.562 0.361  0.00
K 0.820 0.438 0.639  0.00
Na 0.648 0.915 0.296  0.00
Na 0.352 0.085 0.704  0.00
U 0.000 0.000 0.000  2.09
S 0.208 0.132 0.415  -0.04
S 0.792 0.868 0.585  -0.04
S 0.435 0.769 0.871  -0.04
S 0.565 0.231 0.129  -0.04

## Properties
The magnetization comes out at 2.00 μB/cell. The symmetry is No. 12. The value obtained for the energy relative to the elements, uncorrected is -1.260 eV/atom.

---

Copy entry 6 word for word.
DFT (PBE) results for crystalline SmHo3Mg2 at its relaxed geometry.

a b c (Å): 3.643 3.643 13.050
angles (deg): 90.00 90.00 90.00
Positions (direct):
Sm 0.500 0.500 0.500
Ho 0.000 0.000 0.000
Ho 0.000 0.000 0.691
Ho 0.000 0.000 0.309
Mg 0.500 0.500 0.848
Mg 0.500 0.500 0.152

## Properties
The magnetization comes out at 0.00 μB/cell. The calculated formation energy is -0.039 eV/atom. The symmetry is No. 123.